(1)
An optimized crystal structure of NaCdAgPb, computed with PBE.

Unit cell a=5.0924 b=5.0924 c=5.0924 alpha=60.00 beta=60.00 gamma=60.00
Last column: nearest neighbours and their distance in Å.
Positions (direct):
Pb: 0.2500 0.2500 0.2500  4 Na 3.12, 4 Ag 3.12
Na: 0.5000 0.5000 0.5000  4 Cd 3.12, 4 Pb 3.12
Ag: 0.0000 0.0000 0.0000  4 Cd 3.12, 4 Pb 3.12
Cd: 0.7500 0.7500 0.7500  4 Ag 3.12, 4 Na 3.12

- Space-group type: No. 216

=====

(2)
An optimized crystal structure of NaPrCdAg, computed with PBE.

Unit cell a=5.2710 b=5.2710 c=5.2710 alpha=60.00 beta=60.00 gamma=60.00
Last column: nearest neighbours and their distance in Å.
Positions (direct):
Pr: 0.5000 0.5000 0.5000  4 Ag 3.23, 4 Cd 3.23
Na: 0.0000 0.0000 0.0000  4 Cd 3.23, 4 Ag 3.23
Ag: 0.2500 0.2500 0.2500  4 Na 3.23, 4 Pr 3.23
Cd: 0.7500 0.7500 0.7500  4 Na 3.23, 4 Pr 3.23

- Space-group type: No. 216

=====

(3)
An optimized crystal structure of NaCd2AgPt, computed with PBE.

Unit cell a=5.2048 b=5.2048 c=5.2744 alpha=90.00 beta=90.00 gamma=90.00
Last column: nearest neighbours and their distance in Å.
Positions (direct):
Na: 0.5000 0.5000 0.5000  4 Ag 3.68, 8 Cd 3.71
Ag: 0.0000 0.0000 0.5000  2 Pt 2.64
Pt: 0.0000 0.0000 0.0000  4 Cd 2.60, 2 Ag 2.64
Cd: 0.0000 0.5000 0.0000  2 Pt 2.60
Cd: 0.5000 0.0000 0.0000  2 Pt 2.60

- Space-group type: No. 123

=====

(4)
An optimized crystal structure of Na2Cd5AgPt2, computed with PBE.

Unit cell a=3.9948 b=10.4412 c=10.4412 alpha=90.00 beta=90.00 gamma=90.00
Last column: nearest neighbours and their distance in Å.
Positions (direct):
Na: 0.0000 0.6699 0.1699  3 Pt 2.98-3.14, 2 Cd 3.21
Na: 0.0000 0.3301 0.8301  3 Pt 2.98-3.14, 2 Cd 3.21
Na: 0.0000 0.1699 0.3301  3 Pt 2.98-3.14, 2 Cd 3.21
Na: 0.0000 0.8301 0.6699  3 Pt 2.98-3.14, 2 Cd 3.21
Cd: 0.5000 0.1977 0.0690  2 Pt 2.77, 2 Ag 2.96, 2 Cd 3.09
Cd: 0.5000 0.8023 0.9310  2 Pt 2.77, 2 Ag 2.96, 2 Cd 3.09
Cd: 0.5000 0.0690 0.8023  2 Pt 2.77, 2 Ag 2.96, 2 Cd 3.09
Cd: 0.5000 0.6977 0.4310  2 Pt 2.77, 2 Ag 2.96, 2 Cd 3.09
Cd: 0.5000 0.9310 0.1977  2 Pt 2.77, 2 Ag 2.96, 2 Cd 3.09
Cd: 0.5000 0.3023 0.5690  2 Pt 2.77, 2 Ag 2.96, 2 Cd 3.09
Cd: 0.5000 0.5690 0.6977  2 Pt 2.77, 2 Ag 2.96, 2 Cd 3.09
Cd: 0.5000 0.4310 0.3023  2 Pt 2.77, 2 Ag 2.96, 2 Cd 3.09
Cd: 0.5000 0.5000 0.0000  4 Pt 2.75
Cd: 0.5000 0.0000 0.5000  4 Pt 2.75
Ag: 0.0000 0.0000 0.0000  8 Cd 2.96
Ag: 0.0000 0.5000 0.5000  8 Cd 2.96
Pt: 0.0000 0.1282 0.6282  6 Cd 2.75-2.77, 1 Na 2.98
Pt: 0.0000 0.8718 0.3718  6 Cd 2.75-2.77, 1 Na 2.98
Pt: 0.0000 0.6282 0.8718  6 Cd 2.75-2.77, 1 Na 2.98
Pt: 0.0000 0.3718 0.1282  6 Cd 2.75-2.77, 1 Na 2.98

- Space-group type: No. 127

=====

(5)
An optimized crystal structure of Na2Cd5Ag2Pt, computed with PBE.

Unit cell a=3.2534 b=11.8158 c=11.8158 alpha=90.00 beta=90.00 gamma=90.00
Last column: nearest neighbours and their distance in Å.
Positions (direct):
Na: 0.0000 0.6732 0.1732  1 Ag 3.15, 2 Na 3.25, 2 Cd 3.32
Na: 0.0000 0.3268 0.8268  1 Ag 3.15, 2 Na 3.25, 2 Cd 3.32
Na: 0.0000 0.1732 0.3268  1 Ag 3.15, 2 Na 3.25, 2 Cd 3.32
Na: 0.0000 0.8268 0.6732  1 Ag 3.15, 2 Na 3.25, 2 Cd 3.32
Cd: 0.5000 0.1824 0.0613  2 Pt 2.80, 2 Ag 2.82
Cd: 0.5000 0.8176 0.9387  2 Pt 2.80, 2 Ag 2.82
Cd: 0.5000 0.0613 0.8176  2 Pt 2.80, 2 Ag 2.82
Cd: 0.5000 0.6824 0.4387  2 Pt 2.80, 2 Ag 2.82
Cd: 0.5000 0.9387 0.1824  2 Pt 2.80, 2 Ag 2.82
Cd: 0.5000 0.3176 0.5613  2 Pt 2.80, 2 Ag 2.82
Cd: 0.5000 0.5613 0.6824  2 Pt 2.80, 2 Ag 2.82
Cd: 0.5000 0.4387 0.3176  2 Pt 2.80, 2 Ag 2.82
Cd: 0.5000 0.5000 0.0000  4 Ag 2.83
Cd: 0.5000 0.0000 0.5000  4 Ag 2.83
Ag: 0.0000 0.1382 0.6382  6 Cd 2.82-2.83, 1 Na 3.15
Ag: 0.0000 0.8618 0.3618  6 Cd 2.82-2.83, 1 Na 3.15
Ag: 0.0000 0.6382 0.8618  6 Cd 2.82-2.83, 1 Na 3.15
Ag: 0.0000 0.3618 0.1382  6 Cd 2.82-2.83, 1 Na 3.15
Pt: 0.0000 0.0000 0.0000  8 Cd 2.80
Pt: 0.0000 0.5000 0.5000  8 Cd 2.80

- Space-group type: No. 127

=====

(6)
An optimized crystal structure of Rb2NaCd6Ag, computed with PBE.

Unit cell a=8.0645 b=8.0645 c=8.0645 alpha=60.00 beta=60.00 gamma=90.00
Last column: nearest neighbours and their distance in Å.
Positions (direct):
Rb: 0.2500 0.7500 0.5000  12 Cd 4.03
Rb: 0.7500 0.2500 0.5000  12 Cd 4.03
Na: 0.5000 0.5000 0.0000  6 Cd 2.94
Cd: 0.2419 0.7581 0.0000  1 Ag 2.76, 1 Na 2.94
Cd: 0.7581 0.7581 0.0000  1 Ag 2.76, 1 Na 2.94
Cd: 0.2419 0.2419 0.5162  1 Ag 2.76, 1 Na 2.94
Cd: 0.7581 0.2419 0.0000  1 Ag 2.76, 1 Na 2.94
Cd: 0.2419 0.2419 0.0000  1 Ag 2.76, 1 Na 2.94
Cd: 0.7581 0.7581 0.4838  1 Ag 2.76, 1 Na 2.94
Ag: 0.0000 0.0000 0.0000  6 Cd 2.76

- Space-group type: No. 225

=====

(7)
An optimized crystal structure of Rb2NaCd2Ag, computed with PBE.

Unit cell a=7.2714 b=7.2810 c=10.1038 alpha=111.12 beta=111.09 gamma=90.00
Last column: nearest neighbours and their distance in Å.
Positions (direct):
Rb: 0.4122 0.1704 0.3409  5 Cd 3.67-4.08, 2 Na 3.90, 2 Ag 3.95
Rb: 0.5878 0.8296 0.6591  5 Cd 3.67-4.08, 2 Na 3.90, 2 Ag 3.95
Rb: 0.0713 0.3296 0.6591  5 Cd 3.67-4.08, 2 Na 3.90, 2 Ag 3.95
Rb: 0.9287 0.6704 0.3409  5 Cd 3.67-4.08, 2 Na 3.90, 2 Ag 3.95
Na: 0.0000 0.7500 0.0000  4 Cd 3.22
Na: 0.0000 0.2500 0.0000  4 Cd 3.22
Cd: 0.8089 0.0951 0.1903  2 Ag 2.91, 2 Na 3.22
Cd: 0.3814 0.5951 0.1903  2 Ag 2.91, 2 Na 3.22
Cd: 0.6186 0.4049 0.8097  2 Ag 2.91, 2 Na 3.22
Cd: 0.1911 0.9049 0.8097  2 Ag 2.91, 2 Na 3.22
Ag: 0.5000 0.7500 0.0000  4 Cd 2.91
Ag: 0.5000 0.2500 0.0000  4 Cd 2.91

- Space-group type: No. 72

=====

(8)
An optimized crystal structure of RbNaCdAg, computed with PBE.

Unit cell a=4.9574 b=4.9574 c=7.4059 alpha=90.66 beta=109.39 gamma=119.14
Last column: nearest neighbours and their distance in Å.
Positions (direct):
Rb: 0.3931 0.0637 0.4568  3 Cd 3.81-3.84, 3 Ag 3.88-3.92, 4 Na 3.91-4.11
Na: 0.0147 0.8693 0.8840  3 Ag 3.11-3.16, 3 Cd 3.16-3.20
Cd: 0.8150 0.2709 0.0859  3 Ag 2.87-2.88, 3 Na 3.16-3.20
Ag: 0.4694 0.6004 0.0698  3 Cd 2.87-2.88, 3 Na 3.11-3.16

- Space-group type: No. 8

=====

Number 1: DFT formation energy -18 meV per atom. Number 2: DFT formation energy -143 meV per atom. Number 3: DFT formation energy 0 meV per atom. Number 4: DFT formation energy -206 meV per atom. Number 5: DFT formation energy -133 meV per atom. Number 6: DFT formation energy 107 meV per atom. Number 7: DFT formation energy -23 meV per atom. Number 8: DFT formation energy -24 meV per atom.